No. 1
First-principles (PBE-GGA) data for LaTbThCd after structural relaxation, as listed in the Alexandria database.

## Properties
As for the space group: No. 216. Its final energy is -17.751 eV/cell. The calculation puts the energy relative to the lowest polymorph listed for this composition at 207.1 meV/atom.

abc: 5.5862 5.5862 5.5862
angles: 60.00 60.00 60.00
Last column: nearest neighbours and their distance in Å.
Atoms (fractional coordinates):
Cd  0.7500  0.7500  0.7500  4 La 3.42, 4 Th 3.42
Tb  0.2500  0.2500  0.2500  4 La 3.42, 4 Th 3.42
Th  0.0000  0.0000  0.0000  4 Tb 3.42, 4 Cd 3.42
La  0.5000  0.5000  0.5000  4 Cd 3.42, 4 Tb 3.42



No. 2
First-principles (PBE-GGA) data for La5TbTlCd2 after structural relaxation, as listed in the Alexandria database.

## Properties
As for the space group: No. 140. Its final energy is -68.675 eV/cell.

abc: 7.9117 7.9117 11.2441
angles: 110.60 110.60 90.00
Last column: nearest neighbours and their distance in Å.
Atoms (fractional coordinates):
La  0.9263  0.4263  0.2725  1 Tl 3.23, 1 Cd 3.27, 2 Tb 3.60
La  0.6538  0.1538  0.7275  1 Tl 3.23, 1 Cd 3.27, 2 Tb 3.60
La  0.0737  0.5737  0.7275  1 Tl 3.23, 1 Cd 3.27, 2 Tb 3.60
La  0.1538  0.0737  0.7275  1 Tl 3.23, 1 Cd 3.27, 2 Tb 3.60
La  0.5737  0.6538  0.7275  1 Tl 3.23, 1 Cd 3.27, 2 Tb 3.60
La  0.8462  0.9263  0.2725  1 Tl 3.23, 1 Cd 3.27, 2 Tb 3.60
La  0.4263  0.3462  0.2725  1 Tl 3.23, 1 Cd 3.27, 2 Tb 3.60
La  0.3462  0.8462  0.2725  1 Tl 3.23, 1 Cd 3.27, 2 Tb 3.60
La  0.5000  0.5000  0.0000  4 Cd 3.16
La  0.0000  0.0000  0.0000  4 Cd 3.16
Tb  0.2500  0.2500  0.5000  8 La 3.60, 4 Tl 3.96
Tb  0.7500  0.7500  0.5000  8 La 3.60, 4 Tl 3.96
Tl  0.2500  0.7500  0.5000  4 La 3.23
Tl  0.7500  0.2500  0.5000  4 La 3.23
Cd  0.1195  0.3805  0.0000  1 Cd 2.67
Cd  0.6195  0.1195  0.0000  1 Cd 2.67
Cd  0.3805  0.8805  0.0000  1 Cd 2.67
Cd  0.8805  0.6195  0.0000  1 Cd 2.67



No. 3
First-principles (PBE-GGA) data for LaTbTm2Cd4 after structural relaxation, as listed in the Alexandria database.

## Properties
As for the space group: No. 166. Its final energy is -24.610 eV/cell.

abc: 5.3393 5.3393 9.2670
angles: 73.26 73.26 60.00
Last column: nearest neighbours and their distance in Å.
Atoms (fractional coordinates):
La  0.0000  0.0000  0.0000  8 Cd 3.30-3.33
Tb  0.5000  0.5000  0.5000  8 Cd 3.20-3.25
Tm  0.7509  0.7509  0.7472  8 Cd 3.20-3.38
Tm  0.2491  0.2491  0.2528  8 Cd 3.20-3.38
Cd  0.3778  0.3778  0.8665  1 Tb 3.20, 4 Tm 3.25-3.38, 3 La 3.30
Cd  0.8729  0.8729  0.3812  4 Tm 3.20-3.28, 3 Tb 3.25, 1 La 3.33
Cd  0.1271  0.1271  0.6188  4 Tm 3.20-3.28, 3 Tb 3.25, 1 La 3.33
Cd  0.6222  0.6222  0.1335  1 Tb 3.20, 4 Tm 3.25-3.38, 3 La 3.30



No. 4
First-principles (PBE-GGA) data for La2TbY2Cd5 after structural relaxation, as listed in the Alexandria database.

## Properties
As for the space group: No. 127. Its final energy is -68.157 eV/cell.

abc: 4.7856 10.7938 10.7938
angles: 90.00 90.00 90.00
Last column: nearest neighbours and their distance in Å.
Atoms (fractional coordinates):
La  0.0000  0.6757  0.1757  3 Y 3.06-3.28
La  0.0000  0.3243  0.8243  3 Y 3.06-3.28
La  0.0000  0.1757  0.3243  3 Y 3.06-3.28
La  0.0000  0.8243  0.6757  3 Y 3.06-3.28
Tb  0.0000  0.0000  0.0000  8 Cd 3.26
Tb  0.0000  0.5000  0.5000  8 Cd 3.26
Y  0.0000  0.1238  0.6238  6 Cd 3.05-3.16, 3 La 3.06-3.28
Y  0.0000  0.8762  0.3762  6 Cd 3.05-3.16, 3 La 3.06-3.28
Y  0.0000  0.6238  0.8762  6 Cd 3.05-3.16, 3 La 3.06-3.28
Y  0.0000  0.3762  0.1238  6 Cd 3.05-3.16, 3 La 3.06-3.28
Cd  0.5000  0.1942  0.0665  3 Cd 3.13-3.38, 2 Y 3.16, 2 Tb 3.26
Cd  0.5000  0.8058  0.9335  3 Cd 3.13-3.38, 2 Y 3.16, 2 Tb 3.26
Cd  0.5000  0.0665  0.8058  3 Cd 3.13-3.38, 2 Y 3.16, 2 Tb 3.26
Cd  0.5000  0.6942  0.4335  3 Cd 3.13-3.38, 2 Y 3.16, 2 Tb 3.26
Cd  0.5000  0.9335  0.1942  3 Cd 3.13-3.38, 2 Y 3.16, 2 Tb 3.26
Cd  0.5000  0.3058  0.5665  3 Cd 3.13-3.38, 2 Y 3.16, 2 Tb 3.26
Cd  0.5000  0.5665  0.6942  3 Cd 3.13-3.38, 2 Y 3.16, 2 Tb 3.26
Cd  0.5000  0.4335  0.3058  3 Cd 3.13-3.38, 2 Y 3.16, 2 Tb 3.26
Cd  0.5000  0.5000  0.0000  4 Y 3.05, 4 Cd 3.38
Cd  0.5000  0.0000  0.5000  4 Y 3.05, 4 Cd 3.38



No. 5
First-principles (PBE-GGA) data for LaTbZnCd after structural relaxation, as listed in the Alexandria database.

## Properties
As for the space group: No. 99. Its final energy is -13.050 eV/cell. The calculation puts the energy relative to the lowest polymorph listed for this composition at 0.0 meV/atom.

abc: 3.6973 3.6973 7.7455
angles: 90.00 90.00 90.00
Last column: nearest neighbours and their distance in Å.
Atoms (fractional coordinates):
La  0.5000  0.5000  0.1263  4 Zn 3.27, 4 Cd 3.45, 1 Tb 3.56
Tb  0.5000  0.5000  0.5864  4 Zn 3.07, 4 Cd 3.25
Zn  0.0000  0.0000  0.3799  4 Tb 3.07, 4 La 3.27
Cd  0.0000  0.0000  0.8353  4 Tb 3.25, 4 La 3.45, 1 Zn 3.53



No. 6
First-principles (PBE-GGA) data for LaTbZnCd after structural relaxation, as listed in the Alexandria database.

## Properties
As for the space group: No. 216. Its final energy is -12.909 eV/cell. The calculation puts the energy relative to the lowest polymorph listed for this composition at 35.2 meV/atom.

abc: 5.3330 5.3330 5.3330
angles: 60.00 60.00 60.00
Last column: nearest neighbours and their distance in Å.
Atoms (fractional coordinates):
Zn  0.7500  0.7500  0.7500  4 Tb 3.27, 4 La 3.27
Cd  0.2500  0.2500  0.2500  4 Tb 3.27, 4 La 3.27
Tb  0.5000  0.5000  0.5000  4 Zn 3.27, 4 Cd 3.27
La  0.0000  0.0000  0.0000  4 Cd 3.27, 4 Zn 3.27



No. 7
First-principles (PBE-GGA) data for La4CdTc after structural relaxation, as listed in the Alexandria database.

## Properties
As for the space group: No. 216. Its final energy is -26.619 eV/cell. The calculation puts the energy relative to the lowest polymorph listed for this composition at 885.6 meV/atom.

abc: 6.3302 6.3302 6.3302
angles: 60.00 60.00 60.00
Last column: nearest neighbours and their distance in Å.
Atoms (fractional coordinates):
La  0.8705  0.3765  0.3765  6 La 3.13-3.20
La  0.3765  0.3765  0.8705  6 La 3.13-3.20
La  0.3765  0.8705  0.3765  6 La 3.13-3.20
La  0.3765  0.3765  0.3765  6 La 3.13-3.20
Cd  0.0000  0.0000  0.0000  12 La 3.72, 4 Tc 3.88
Tc  0.7500  0.7500  0.7500  12 La 3.71, 4 Cd 3.88



No. 8
First-principles (PBE-GGA) data for La4CdTc after structural relaxation, as listed in the Alexandria database.

## Properties
As for the space group: No. 15. Its final energy is -62.588 eV/cell. The calculation puts the energy relative to the lowest polymorph listed for this composition at 106.4 meV/atom.

abc: 6.9687 8.1120 8.9139
angles: 112.02 107.32 101.82
Last column: nearest neighbours and their distance in Å.
Atoms (fractional coordinates):
La  0.2814  0.9430  0.5727  1 Tc 2.58
La  0.0424  0.8230  0.0891  2 Tc 2.85-3.11
La  0.2087  0.3703  0.4273  1 Tc 2.58
La  0.4533  0.7340  0.9109  2 Tc 2.85-3.11
La  0.7186  0.0570  0.4273  1 Tc 2.58
La  0.7913  0.6297  0.5727  1 Tc 2.58
La  0.9576  0.1770  0.9109  2 Tc 2.85-3.11
La  0.5467  0.2660  0.0891  2 Tc 2.85-3.11
Cd  0.3657  0.6157  0.2314  8 La 3.31-3.51
Cd  0.6343  0.3843  0.7686  8 La 3.31-3.51
Tc  0.8483  0.0983  0.1965  4 La 2.58-2.85
Tc  0.1517  0.9017  0.8035  4 La 2.58-2.85



The lowest final energy belongs to which entry? La5TbTlCd2



Copy entry 8 word for word.
First-principles (PBE-GGA) data for La4CdTc after structural relaxation, as listed in the Alexandria database.

## Properties
As for the space group: No. 15. Its final energy is -62.588 eV/cell. The calculation puts the energy relative to the lowest polymorph listed for this composition at 106.4 meV/atom.

abc: 6.9687 8.1120 8.9139
angles: 112.02 107.32 101.82
Last column: nearest neighbours and their distance in Å.
Atoms (fractional coordinates):
La  0.2814  0.9430  0.5727  1 Tc 2.58
La  0.0424  0.8230  0.0891  2 Tc 2.85-3.11
La  0.2087  0.3703  0.4273  1 Tc 2.58
La  0.4533  0.7340  0.9109  2 Tc 2.85-3.11
La  0.7186  0.0570  0.4273  1 Tc 2.58
La  0.7913  0.6297  0.5727  1 Tc 2.58
La  0.9576  0.1770  0.9109  2 Tc 2.85-3.11
La  0.5467  0.2660  0.0891  2 Tc 2.85-3.11
Cd  0.3657  0.6157  0.2314  8 La 3.31-3.51
Cd  0.6343  0.3843  0.7686  8 La 3.31-3.51
Tc  0.8483  0.0983  0.1965  4 La 2.58-2.85
Tc  0.1517  0.9017  0.8035  4 La 2.58-2.85



What is the formula in the eighth record? La4CdTc